{
  "formula": "ScVO3",
  "functional": "GGA+U",
  "state": "relaxed",
  "total_magnetization_mub_per_cell": 4.0,
  "final_energy_ev_per_atom": -8.222,
  "lattice": [[2.5440, 1.4688, 5.1036], [-2.5440, 1.4688, 5.1036], [0.0000, -2.9375, 5.1036]],
  "species": ["Sc", "Sc", "V", "V", "O", "O", "O", "O", "O", "O"],
  "frac_coords": [[0.1428, 0.1428, 0.1428], [0.8572, 0.8572, 0.8572], [0.3417, 0.3417, 0.3417], [0.6583, 0.6583, 0.6583], [0.0547, 0.4558, 0.7367], [0.2633, 0.5442, 0.9453], [0.4558, 0.7367, 0.0547], [0.5442, 0.9453, 0.2633], [0.7367, 0.0547, 0.4558], [0.9453, 0.2633, 0.5442]]
}